First-principles (PBE) data for a relaxed Cd5C crystal, as listed in Alexandria via LeMat-Bulk.

```
data_Cd5C
_space_group_name_H-M_alt 'P 1'
_space_group_IT_number 1
_space_group_name_Hall 'P 1'
_cell_length_a 11.710
_cell_length_b 11.710
_cell_length_c 3.646
_cell_angle_alpha 90.00
_cell_angle_beta 90.00
_cell_angle_gamma 165.21
loop_
_atom_site_label
_atom_site_fract_x
_atom_site_fract_y
_atom_site_fract_z
Cd1 0.359 0.641 0.000
Cd2 0.577 0.423 0.000
Cd3 0.468 0.532 0.500
Cd4 0.775 0.225 0.500
Cd5 0.163 0.837 0.500
C1 0.991 0.009 0.000
```

Values from the calculation:
The calculated volume is 127.6 Å³/cell. The polymorph energy (0 for the lowest one) comes out at 58 meV/atom. The magnetic moment is 0.0 μB per formula unit. For the total energy, the calculation gives -1.65 eV/atom.

=====

First-principles (PBE) data for a relaxed CdC crystal, as listed in Alexandria via LeMat-Bulk.

```
data_CdC
_space_group_name_H-M_alt 'P 1'
_space_group_IT_number 1
_space_group_name_Hall 'P 1'
_cell_length_a 4.412
_cell_length_b 4.412
_cell_length_c 4.412
_cell_angle_alpha 85.75
_cell_angle_beta 85.75
_cell_angle_gamma 85.75
loop_
_atom_site_label
_atom_site_fract_x
_atom_site_fract_y
_atom_site_fract_z
C1 0.924 0.924 0.924
C2 0.076 0.076 0.076
Cd1 0.662 0.662 0.662
Cd2 0.338 0.338 0.338
```

Values from the calculation:
The calculated volume is 85.2 Å³/cell. The polymorph energy (0 for the lowest one) comes out at 517 meV/atom. The magnetic moment is 0.0 μB per formula unit. For the total energy, the calculation gives -4.14 eV/atom.

=====

First-principles (PBE) data for a relaxed Cd5C crystal, as listed in Alexandria via LeMat-Bulk.

```
data_Cd5C
_space_group_name_H-M_alt 'P 1'
_space_group_IT_number 1
_space_group_name_Hall 'P 1'
_cell_length_a 3.071
_cell_length_b 3.071
_cell_length_c 12.622
_cell_angle_alpha 90.00
_cell_angle_beta 90.00
_cell_angle_gamma 90.00
loop_
_atom_site_label
_atom_site_fract_x
_atom_site_fract_y
_atom_site_fract_z
Cd1 0.000 0.000 0.883
Cd2 0.000 0.000 0.117
Cd3 0.500 0.500 0.692
Cd4 0.500 0.500 0.308
Cd5 0.000 0.000 0.500
C1 0.500 0.500 0.000
```

Values from the calculation:
The calculated volume is 119.0 Å³/cell. The polymorph energy (0 for the lowest one) comes out at 118 meV/atom. The magnetic moment is 0.0 μB per formula unit. For the total energy, the calculation gives -1.59 eV/atom.

=====

First-principles (PBE) data for a relaxed CdC2 crystal, as listed in Alexandria via LeMat-Bulk.

```
data_CdC2
_space_group_name_H-M_alt 'P 1'
_space_group_IT_number 1
_space_group_name_Hall 'P 1'
_cell_length_a 3.620
_cell_length_b 3.620
_cell_length_c 7.755
_cell_angle_alpha 90.00
_cell_angle_beta 90.00
_cell_angle_gamma 120.00
loop_
_atom_site_label
_atom_site_fract_x
_atom_site_fract_y
_atom_site_fract_z
Cd1 0.000 0.000 0.000
Cd2 0.000 0.000 0.500
C1 0.333 0.667 0.831
C2 0.667 0.333 0.331
C3 0.333 0.667 0.669
C4 0.667 0.333 0.169
```

Values from the calculation:
The calculated volume is 88.0 Å³/cell. The polymorph energy (0 for the lowest one) comes out at 830 meV/atom. The magnetic moment is 0.0 μB per formula unit. For the total energy, the calculation gives -5.23 eV/atom.

=====

First-principles (PBE) data for a relaxed CdC2 crystal, as listed in Alexandria via LeMat-Bulk.

```
data_CdC2
_space_group_name_H-M_alt 'P 1'
_space_group_IT_number 1
_space_group_name_Hall 'P 1'
_cell_length_a 4.142
_cell_length_b 4.142
_cell_length_c 4.142
_cell_angle_alpha 115.86
_cell_angle_beta 115.85
_cell_angle_gamma 97.35
loop_
_atom_site_label
_atom_site_fract_x
_atom_site_fract_y
_atom_site_fract_z
C1 0.386 0.386 0.000
C2 0.614 0.614 0.000
Cd1 0.000 0.000 0.000
```

Values from the calculation:
The calculated volume is 52.9 Å³/cell. The polymorph energy (0 for the lowest one) comes out at 634 meV/atom. The magnetic moment is 0.0 μB per formula unit. For the total energy, the calculation gives -5.42 eV/atom.

=====

First-principles (PBE) data for a relaxed CdC crystal, as listed in Alexandria via LeMat-Bulk.

```
data_CdC
_space_group_name_H-M_alt 'P 1'
_space_group_IT_number 1
_space_group_name_Hall 'P 1'
_cell_length_a 3.692
_cell_length_b 3.692
_cell_length_c 4.884
_cell_angle_alpha 90.00
_cell_angle_beta 90.00
_cell_angle_gamma 120.00
loop_
_atom_site_label
_atom_site_fract_x
_atom_site_fract_y
_atom_site_fract_z
C1 0.000 0.000 0.000
C2 0.000 0.000 0.500
Cd1 0.333 0.667 0.250
Cd2 0.667 0.333 0.750
```

Values from the calculation:
The calculated volume is 57.7 Å³/cell. The polymorph energy (0 for the lowest one) comes out at 1470 meV/atom. The magnetic moment is 0.0 μB per formula unit. For the total energy, the calculation gives -3.18 eV/atom.

=====

First-principles (PBE) data for a relaxed CdC3 crystal, as listed in Alexandria via LeMat-Bulk.

```
data_CdC3
_space_group_name_H-M_alt 'P 1'
_space_group_IT_number 1
_space_group_name_Hall 'P 1'
_cell_length_a 3.545
_cell_length_b 3.545
_cell_length_c 3.545
_cell_angle_alpha 90.00
_cell_angle_beta 90.00
_cell_angle_gamma 90.00
loop_
_atom_site_label
_atom_site_fract_x
_atom_site_fract_y
_atom_site_fract_z
C1 0.000 0.500 0.500
C2 0.500 0.000 0.500
C3 0.500 0.500 0.000
Cd1 0.000 0.000 0.000
```

Values from the calculation:
The calculated volume is 44.5 Å³/cell. The polymorph energy (0 for the lowest one) comes out at 2906 meV/atom. The magnetic moment is 0.0 μB per formula unit. For the total energy, the calculation gives -3.63 eV/atom.

=====

First-principles (PBE) data for a relaxed Cd7C5 crystal, as listed in Alexandria via LeMat-Bulk.

```
data_Cd7C5
_space_group_name_H-M_alt 'P 1'
_space_group_IT_number 1
_space_group_name_Hall 'P 1'
_cell_length_a 7.148
_cell_length_b 7.148
_cell_length_c 7.148
_cell_angle_alpha 123.41
_cell_angle_beta 123.41
_cell_angle_gamma 84.19
loop_
_atom_site_label
_atom_site_fract_x
_atom_site_fract_y
_atom_site_fract_z
C1 0.008 0.008 0.000
C2 0.016 0.016 0.778
C3 0.238 0.238 0.222
C4 0.238 0.016 0.000
C5 0.016 0.238 0.000
Cd1 0.385 0.385 0.000
Cd2 0.883 0.383 0.500
Cd3 0.383 0.883 0.500
Cd4 0.340 0.633 0.707
Cd5 0.927 0.633 0.293
Cd6 0.633 0.340 0.707
Cd7 0.633 0.927 0.293
```

Values from the calculation:
The calculated volume is 243.6 Å³/cell. The magnetic moment is 0.0 μB per formula unit. For the total energy, the calculation gives -3.27 eV/atom.

=====

First-principles (PBE) data for a relaxed CdC2 crystal, as listed in Alexandria via LeMat-Bulk.

```
data_CdC2
_space_group_name_H-M_alt 'P 1'
_space_group_IT_number 1
_space_group_name_Hall 'P 1'
_cell_length_a 6.949
_cell_length_b 6.949
_cell_length_c 4.648
_cell_angle_alpha 89.68
_cell_angle_beta 89.68
_cell_angle_gamma 23.07
loop_
_atom_site_label
_atom_site_fract_x
_atom_site_fract_y
_atom_site_fract_z
Cd1 0.603 0.603 0.003
Cd2 0.397 0.397 0.997
C1 0.222 0.222 0.660
C2 0.778 0.778 0.659
C3 0.778 0.778 0.340
C4 0.222 0.222 0.341
```

Values from the calculation:
The calculated volume is 88.0 Å³/cell. The polymorph energy (0 for the lowest one) comes out at 844 meV/atom. The magnetic moment is 0.0 μB per formula unit. For the total energy, the calculation gives -5.21 eV/atom.

=====

First-principles (PBE) data for a relaxed CdC2 crystal, as listed in Alexandria via LeMat-Bulk.

```
data_CdC2
_space_group_name_H-M_alt 'P 1'
_space_group_IT_number 1
_space_group_name_Hall 'P 1'
_cell_length_a 2.593
_cell_length_b 2.593
_cell_length_c 9.034
_cell_angle_alpha 90.00
_cell_angle_beta 90.00
_cell_angle_gamma 120.00
loop_
_atom_site_label
_atom_site_fract_x
_atom_site_fract_y
_atom_site_fract_z
C1 0.667 0.333 0.500
C2 0.333 0.667 0.500
Cd1 0.000 0.000 0.000
```

Values from the calculation:
The calculated volume is 52.6 Å³/cell. The polymorph energy (0 for the lowest one) comes out at 10 meV/atom. The magnetic moment is 0.0 μB per formula unit. For the total energy, the calculation gives -6.05 eV/atom.

=====

First-principles (PBE) data for a relaxed Cd5C3 crystal, as listed in Alexandria via LeMat-Bulk.

```
data_Cd5C3
_space_group_name_H-M_alt 'P 1'
_space_group_IT_number 1
_space_group_name_Hall 'P 1'
_cell_length_a 3.029
_cell_length_b 3.029
_cell_length_c 13.957
_cell_angle_alpha 90.00
_cell_angle_beta 90.00
_cell_angle_gamma 90.00
loop_
_atom_site_label
_atom_site_fract_x
_atom_site_fract_y
_atom_site_fract_z
Cd1 0.000 0.000 0.000
Cd2 0.000 0.000 0.215
Cd3 0.000 0.000 0.785
Cd4 0.500 0.500 0.393
Cd5 0.500 0.500 0.607
C1 0.000 0.000 0.500
C2 0.500 0.500 0.117
C3 0.500 0.500 0.883
```

Values from the calculation:
The calculated volume is 128.1 Å³/cell. The polymorph energy (0 for the lowest one) comes out at 164 meV/atom. The magnetic moment is 0.0 μB per formula unit. For the total energy, the calculation gives -2.43 eV/atom.

=====

First-principles (PBE) data for a relaxed CdC2 crystal, as listed in Alexandria via LeMat-Bulk.

```
data_CdC2
_space_group_name_H-M_alt 'P 1'
_space_group_IT_number 1
_space_group_name_Hall 'P 1'
_cell_length_a 3.767
_cell_length_b 3.767
_cell_length_c 9.398
_cell_angle_alpha 70.39
_cell_angle_beta 70.39
_cell_angle_gamma 40.81
loop_
_atom_site_label
_atom_site_fract_x
_atom_site_fract_y
_atom_site_fract_z
Cd1 0.188 0.188 0.152
Cd2 0.812 0.812 0.848
C1 0.160 0.160 0.700
C2 0.840 0.840 0.300
C3 0.231 0.231 0.543
C4 0.769 0.769 0.457
```

Values from the calculation:
The calculated volume is 81.4 Å³/cell. The polymorph energy (0 for the lowest one) comes out at 656 meV/atom. The magnetic moment is 0.0 μB per formula unit. For the total energy, the calculation gives -5.40 eV/atom.